1.
DFT (PBEsol) results for a geometry-optimized KBaHg4 structure.

Cell lengths 6.2092, 6.2092, 6.2092 Å; angles 60.00, 60.00, 60.00 degrees
Sites, in units of the cell vectors:
Hg 0.3755 0.8734 0.3755
Hg 0.3755 0.3755 0.3755
Ba 0.0000 0.0000 0.0000
Hg 0.8734 0.3755 0.3755
Hg 0.3755 0.3755 0.8734
K 0.7500 0.7500 0.7500

Values from the calculation:
* size of the total moment: 0.0 μB per formula unit
* E_tot: -1.264 eV/atom
* space-group type: F-43m (216)

=====

2.
DFT (PBEsol) results for a geometry-optimized KBaHg2 structure.

Cell lengths 4.0442, 5.7160, 6.4686 Å; angles 109.07, 108.22, 90.00 degrees
Sites, in units of the cell vectors:
Hg 0.7146 0.2487 0.4292
K 0.4776 0.4525 0.9551
Ba 0.2782 0.8005 0.5565
Hg 0.0296 0.9983 0.0592

Values from the calculation:
* size of the total moment: 0.0 μB per formula unit
* E_tot: -1.411 eV/atom
* space-group type: Cm (8)